PBE-GGA CoSi3, relaxed; VASP energy = -5.6372 eV/atom; SG = I4/mmm (139)
1.0
4.409 -0.008 0.000
1.213 4.239 0.000
-2.811 -2.116 2.658
Co Si
1 3
Direct
0.000 0.000 0.000 Co
0.250 0.750 0.500 Si
0.500 0.500 0.000 Si
0.750 0.250 0.500 Si

PBE-GGA TmMg9Pd2, relaxed; formation enthalpy at 0 K = -0.243 eV per atom; VASP energy = -2.6772 eV/atom; SG = I4_1/amd (141)
1.0
6.823 0.000 3.141
3.411 8.246 1.571
-0.037 0.000 9.061
Tm Mg Pd
2 18 4
Direct
0.500 0.000 0.000 Tm
0.250 0.500 0.500 Tm
0.750 0.500 0.500 Mg
0.000 0.000 0.000 Mg
0.006 0.926 0.682 Mg
0.613 0.074 0.318 Mg
0.681 0.182 0.574 Mg
0.438 0.818 0.426 Mg
0.744 0.818 0.574 Mg
0.137 0.182 0.426 Mg
0.069 0.926 0.318 Mg
0.312 0.074 0.682 Mg
0.744 0.574 0.818 Mg
0.137 0.426 0.182 Mg
0.069 0.318 0.926 Mg
0.312 0.682 0.074 Mg
0.006 0.682 0.926 Mg
0.613 0.318 0.074 Mg
0.681 0.574 0.182 Mg
0.438 0.426 0.818 Mg
0.875 0.250 0.750 Pd
0.875 0.750 0.250 Pd
0.875 0.250 0.250 Pd
0.375 0.750 0.750 Pd

PBE-GGA CeAgI4, relaxed; VASP energy = -3.4413 eV/atom; SG = C2/m (12)
1.0
4.503 0.000 0.000
-2.251 8.339 0.642
0.000 -3.771 6.669
Ce Ag I
1 1 4
Direct
0.500 0.000 0.500 Ce
0.000 0.000 0.000 Ag
0.390 0.780 0.054 I
0.127 0.254 0.469 I
0.610 0.220 0.946 I
0.873 0.746 0.531 I

PBE-GGA DyScBr4, relaxed; VASP energy = -4.4098 eV/atom; SG = C2/c (15)
1.0
6.781 -0.622 0.000
-1.860 6.544 0.000
-2.460 -2.961 8.554
Dy Sc Br
2 2 8
Direct
0.305 0.555 0.110 Dy
0.695 0.445 0.890 Dy
0.802 0.052 0.104 Sc
0.198 0.948 0.896 Sc
0.321 0.075 0.665 Br
0.073 0.833 0.141 Br
0.156 0.410 0.335 Br
0.432 0.692 0.859 Br
0.679 0.925 0.335 Br
0.844 0.590 0.665 Br
0.927 0.167 0.859 Br
0.568 0.308 0.141 Br

PBE-GGA Zr2Al2Cu, relaxed; formation enthalpy at 0 K = 0.463 eV per atom; VASP energy = -5.2721 eV/atom; SG = I4/mmm (139); relative energy among the computed polymorphs = 880 meV/atom
1.0
-4.416 5.190 1.769
-5.610 2.677 -3.305
3.308 -5.843 2.115
Zr Al Cu
2 2 1
Direct
0.250 0.750 0.500 Zr
0.750 0.250 0.500 Zr
0.594 0.594 0.000 Al
0.406 0.406 0.000 Al
0.000 0.000 0.000 Cu

PBE-GGA SrLi2Hg, relaxed; formation enthalpy at 0 K = -0.281 eV per atom; VASP energy = -1.7336 eV/atom; SG = Pnma (62)
1.0
-1.271 -1.273 -5.949
3.542 -7.356 0.818
-14.953 -6.686 4.625
Sr Li Hg
8 16 8
Direct
0.476 0.250 0.137 Sr
0.976 0.750 0.363 Sr
0.524 0.750 0.863 Sr
0.024 0.250 0.637 Sr
0.763 0.250 0.393 Sr
0.263 0.750 0.107 Sr
0.237 0.750 0.607 Sr
0.737 0.250 0.893 Sr
0.964 0.059 0.211 Li
0.464 0.941 0.289 Li
0.036 0.559 0.789 Li
0.536 0.441 0.711 Li
0.036 0.941 0.789 Li
0.536 0.059 0.711 Li
0.964 0.441 0.211 Li
0.464 0.559 0.289 Li
0.789 0.562 0.045 Li
0.289 0.438 0.455 Li
0.211 0.062 0.955 Li
0.711 0.938 0.545 Li
0.211 0.438 0.955 Li
0.711 0.562 0.545 Li
0.789 0.938 0.045 Li
0.289 0.062 0.455 Li
0.248 0.250 0.314 Hg
0.748 0.750 0.186 Hg
0.752 0.750 0.686 Hg
0.252 0.250 0.814 Hg
0.981 0.250 0.069 Hg
0.481 0.750 0.431 Hg
0.019 0.750 0.931 Hg
0.519 0.250 0.569 Hg

PBE-GGA ZrPa2SnN5, relaxed; VASP energy = -9.1422 eV/atom; SG = Cmc2_1 (36)
1.0
-1.385 0.213 3.070
4.332 -5.856 0.505
8.128 6.292 3.231
Zr Pa Sn N
2 4 2 10
Direct
0.759 0.519 0.491 Zr
0.241 0.481 0.991 Zr
0.862 0.725 0.746 Pa
0.130 0.261 0.725 Pa
0.138 0.275 0.246 Pa
0.870 0.739 0.225 Pa
0.507 0.015 0.977 Sn
0.493 0.985 0.477 Sn
0.381 0.762 0.074 N
0.710 0.420 0.849 N
0.486 0.972 0.783 N
0.278 0.557 0.641 N
0.921 0.842 0.537 N
0.619 0.238 0.574 N
0.290 0.580 0.349 N
0.514 0.028 0.283 N
0.722 0.443 0.141 N
0.079 0.158 0.037 N

PBE-GGA Dy2Zn5Ru2Rh, relaxed; formation enthalpy at 0 K = -0.262 eV per atom; VASP energy = -4.4095 eV/atom; SG = P4/mbm (127)
1.0
3.583 0.000 0.000
0.000 9.811 0.000
0.000 0.000 9.811
Dy Zn Ru Rh
4 10 4 2
Direct
0.000 0.675 0.175 Dy
0.000 0.325 0.825 Dy
0.000 0.175 0.325 Dy
0.000 0.825 0.675 Dy
0.500 0.189 0.055 Zn
0.500 0.811 0.945 Zn
0.500 0.055 0.811 Zn
0.500 0.689 0.445 Zn
0.500 0.945 0.189 Zn
0.500 0.311 0.555 Zn
0.500 0.555 0.689 Zn
0.500 0.445 0.311 Zn
0.500 0.500 0.000 Zn
0.500 0.000 0.500 Zn
0.000 0.132 0.632 Ru
0.000 0.868 0.368 Ru
0.000 0.632 0.868 Ru
0.000 0.368 0.132 Ru
0.000 0.000 0.000 Rh
0.000 0.500 0.500 Rh

PBE-GGA LaInCu3, relaxed; formation enthalpy at 0 K = -0.133 eV per atom; VASP energy = -4.1237 eV/atom; SG = Cmcm (63); relative energy among the computed polymorphs = 0 meV/atom
1.0
4.043 0.000 0.000
0.000 3.951 0.000
0.000 -1.975 12.538
La In Cu
2 2 6
Direct
0.250 0.080 0.159 La
0.750 0.920 0.841 La
0.250 0.794 0.587 In
0.750 0.206 0.413 In
0.250 0.372 0.743 Cu
0.750 0.628 0.257 Cu
0.250 0.472 0.943 Cu
0.750 0.528 0.057 Cu
0.750 0.313 0.626 Cu
0.250 0.687 0.374 Cu

PBE-GGA Sr2Cd2Si, relaxed; VASP energy = -2.2497 eV/atom; SG = I4/mmm (139); relative energy among the computed polymorphs = 3 meV/atom
1.0
3.992 0.000 0.000
0.000 3.992 0.000
1.996 1.996 9.909
Sr Si Cd
2 1 2
Direct
0.408 0.408 0.184 Sr
0.592 0.592 0.816 Sr
0.000 0.000 0.000 Si
0.750 0.250 0.500 Cd
0.250 0.750 0.500 Cd

PBE-GGA TiTlTe2F, relaxed; VASP energy = -4.8096 eV/atom; SG = P4/mmm (123)
1.0
5.600 0.000 0.000
0.000 5.600 0.000
0.000 0.000 3.997
Tl Te F Ti
1 2 1 1
Direct
0.500 0.500 0.500 Tl
0.000 0.500 0.000 Te
0.500 0.000 0.000 Te
0.000 0.000 0.500 F
0.000 0.000 0.000 Ti

PBE-GGA BRhSN2, relaxed; VASP energy = -5.9458 eV/atom; SG = P4/mmm (123); relative energy among the computed polymorphs = 0 meV/atom
1.0
-2.483 0.971 -1.696
1.168 -1.461 -2.547
-3.876 -6.501 1.952
S B Rh N
1 1 1 2
Direct
0.000 0.000 0.500 S
0.000 0.000 0.000 B
0.500 0.500 0.500 Rh
0.000 0.500 0.000 N
0.500 0.000 0.000 N

PBE-GGA TaGaCu2, relaxed; formation enthalpy at 0 K = 0.392 eV per atom; VASP energy = -5.3764 eV/atom; SG = I-42d (122)
1.0
6.855 0.000 0.000
0.000 6.855 0.000
3.427 3.427 2.660
Cu Ga Ta
4 2 2
Direct
0.605 0.125 0.250 Cu
0.145 0.625 0.250 Cu
0.375 0.395 0.750 Cu
0.875 0.855 0.750 Cu
0.500 0.500 0.000 Ga
0.250 0.750 0.500 Ga
0.000 0.000 0.000 Ta
0.750 0.250 0.500 Ta

PBE-GGA HfTa2PtN, relaxed; VASP energy = -10.4461 eV/atom; SG = P4/mmm (123); relative energy among the computed polymorphs = 0 meV/atom
1.0
4.183 0.000 0.000
0.000 4.183 0.000
0.000 0.000 4.467
N Hf Pt Ta
1 1 1 2
Direct
0.000 0.000 0.000 N
0.000 0.000 0.500 Hf
0.500 0.500 0.500 Pt
0.000 0.500 0.000 Ta
0.500 0.000 0.000 Ta

PBE-GGA ThPaHg2O8, relaxed; VASP energy = -6.5589 eV/atom; SG = I-4m2 (119)
1.0
-2.257 5.615 1.738
-4.303 -2.257 -4.004
0.872 -3.821 4.927
Th Pa Hg O
1 1 2 8
Direct
0.250 0.750 0.500 Th
0.000 0.000 0.000 Pa
0.750 0.250 0.500 Hg
0.500 0.500 0.000 Hg
0.332 0.022 0.310 O
0.267 0.440 0.172 O
0.267 0.095 0.828 O
0.713 0.022 0.690 O
0.905 0.733 0.172 O
0.978 0.287 0.310 O
0.978 0.668 0.690 O
0.560 0.733 0.828 O

PBE-GGA DyMnReSi2, relaxed; VASP energy = -7.9832 eV/atom; SG = I-4m2 (119)
1.0
3.984 0.000 0.000
0.000 3.984 0.000
-1.992 -1.992 5.232
Dy Mn Re Si
1 1 1 2
Direct
0.000 0.000 0.000 Dy
0.250 0.750 0.500 Mn
0.750 0.250 0.500 Re
0.617 0.617 0.234 Si
0.383 0.383 0.766 Si

PBE-GGA CdSb2TeC, relaxed; VASP energy = -2.9103 eV/atom; SG = P4/mmm (123); relative energy among the computed polymorphs = 478 meV/atom
1.0
5.881 0.000 0.000
0.000 4.096 0.000
0.000 0.000 5.881
Sb C Te Cd
2 1 1 1
Direct
0.000 0.000 0.500 Sb
0.500 0.000 0.000 Sb
0.000 0.500 0.000 C
0.000 0.000 0.000 Te
0.500 0.500 0.500 Cd

PBE-GGA LiCa2HPt, relaxed; VASP energy = -3.2533 eV/atom; SG = P4/mmm (123); relative energy among the computed polymorphs = 357 meV/atom
1.0
-2.381 -3.772 3.466
-1.682 -1.602 -2.898
4.438 -3.427 -0.681
H Ca Pt Li
1 2 1 1
Direct
0.000 0.500 0.000 H
0.000 0.000 0.500 Ca
0.500 0.000 0.000 Ca
0.000 0.000 0.000 Pt
0.500 0.500 0.500 Li

PBE-GGA AgSe, relaxed; VASP energy = -3.1285 eV/atom; SG = P-6m2 (187)
1.0
4.256 0.000 0.000
-2.128 3.685 0.000
0.000 0.000 2.916
Ag Se
1 1
Direct
0.000 0.000 0.000 Ag
0.667 0.333 0.500 Se

PBE-GGA AlSi2Tc, relaxed; VASP energy = -6.4337 eV/atom; SG = Pm (6)
1.0
4.146 0.000 0.000
0.000 3.135 -0.001
0.000 1.589 4.563
Si Tc Al
2 1 1
Direct
0.000 0.032 0.067 Si
0.500 0.447 0.231 Si
0.000 0.311 0.504 Tc
0.500 0.710 0.698 Al

PBE-GGA La2Pm2Pr3, relaxed; formation enthalpy at 0 K = 0.102 eV per atom; VASP energy = -4.7113 eV/atom; SG = C2/m (12); relative energy among the computed polymorphs = 87 meV/atom
1.0
-0.444 -0.008 3.551
2.771 -8.621 0.328
6.370 6.055 -0.993
La Pm Pr
2 2 3
Direct
0.924 0.800 0.849 La
0.076 0.200 0.151 La
0.640 0.907 0.280 Pm
0.360 0.093 0.720 Pm
0.000 0.500 0.000 Pr
0.223 0.650 0.446 Pr
0.777 0.350 0.554 Pr

PBE-GGA Tl3Pb2F7, relaxed; VASP energy = -4.2597 eV/atom; SG = Cmmm (65)
1.0
-1.259 -4.435 -0.111
3.939 -1.188 2.810
-8.224 2.134 8.016
Tl Pb F
3 2 7
Direct
0.500 0.500 0.000 Tl
0.500 0.701 0.402 Tl
0.500 0.299 0.598 Tl
0.000 0.889 0.778 Pb
0.000 0.111 0.222 Pb
0.000 0.401 0.802 F
0.000 0.786 0.573 F
0.000 0.000 0.000 F
0.000 0.599 0.198 F
0.500 0.134 0.269 F
0.500 0.866 0.731 F
0.000 0.214 0.427 F

PBE-GGA Cs2Rb2Au, relaxed; formation enthalpy at 0 K = -0.027 eV per atom; VASP energy = -1.4111 eV/atom; SG = P4/mbm (127); relative energy among the computed polymorphs = 115 meV/atom
1.0
9.641 0.000 0.000
0.000 9.641 0.000
0.000 0.000 8.578
Cs Rb Au
4 4 2
Direct
0.823 0.323 0.000 Cs
0.677 0.823 0.000 Cs
0.177 0.677 0.000 Cs
0.323 0.177 0.000 Cs
0.676 0.176 0.500 Rb
0.824 0.676 0.500 Rb
0.324 0.824 0.500 Rb
0.176 0.324 0.500 Rb
0.000 0.000 0.000 Au
0.500 0.500 0.000 Au